Entry 1:
The following is a DFT calculation (PBE) of an optimized crystal structure of CuSn2P2.

a b c (Å): 7.1363 7.1363 4.0363
angles (deg): 90.00 90.00 90.00
Closest atoms and distances in Å follow each position.
Positions (direct):
1 Sn 0.6499 0.8501 0.5000  2 P 2.65
2 Sn 0.1499 0.6499 0.5000  2 P 2.65
3 Sn 0.3501 0.1499 0.5000  2 P 2.65
4 Sn 0.8501 0.3501 0.5000  2 P 2.65
5 P 0.3202 0.8202 0.0000  2 Cu 2.62, 2 Sn 2.65
6 P 0.6798 0.1798 0.0000  2 Cu 2.62, 2 Sn 2.65
7 P 0.1798 0.3202 0.0000  2 Cu 2.62, 2 Sn 2.65
8 P 0.8202 0.6798 0.0000  2 Cu 2.62, 2 Sn 2.65
9 Cu 0.5000 0.5000 0.0000  4 P 2.62
10 Cu 0.0000 0.0000 0.0000  4 P 2.62

Properties
M_tot	0.0	μB per cell
calculated formation energy	0.304	eV per atom



Entry 2:
The following is a DFT calculation (PBE) of an optimized crystal structure of Tl2AsOs.

a b c (Å): 3.1614 3.1614 8.9783
angles (deg): 90.00 90.00 90.00
Closest atoms and distances in Å follow each position.
Positions (direct):
1 Tl 0.0000 0.0000 0.9501  4 Os 3.14, 4 Tl 3.16, 1 As 3.41
2 Tl 0.5000 0.5000 0.2753  4 Tl 3.16, 4 As 3.46
3 Os 0.5000 0.5000 0.7044  4 As 2.54
4 As 0.0000 0.0000 0.5701  4 Os 2.54

Properties
M_tot	0.0	μB per cell
calculated formation energy	0.258	eV per atom